ScNiN2F | GGA+U | optimized geometry

The energy above the lowest structure with this stoichiometry comes out at 361 meV/atom. For the spin magnetization, the calculation gives 1.534 μB per formula unit. The value obtained for the raw total energy is -5.430 eV/atom.

Lattice parameters (Å, degrees): 4.1349 4.1349 3.9673 90.00 90.00 90.00
With the nearest neighbours (Å) after each atom.
Space group P4/mmm (No. 123)
Inequivalent atoms, fractional coordinates:
Sc: 0.0000 0.0000 0.0000 x1  2 F 1.98, 4 N 2.07
Ni: 0.5000 0.5000 0.5000 x1  8 N 2.87, 4 F 2.92
N: 0.0000 0.5000 0.0000 x2  2 Sc 2.07
F: 0.0000 0.0000 0.5000 x1  2 Sc 1.98